# RbLaIN2 | Alexandria | PBE-GGA | relaxed
# total energy: -3.44 eV/atom
# offset from the most stable computed form: 1.347 eV per atom
data_RbLaIN2
_cell_length_a 4.711
_cell_length_b 4.711
_cell_length_c 6.005
_cell_angle_alpha 90.00
_cell_angle_beta 90.00
_cell_angle_gamma 90.00
_symmetry_space_group_name_H-M 'P 4/m m m'
_symmetry_Int_Tables_number 123
_symmetry_space_group_name_Hall '-P 4 2'
loop_
_atom_site_label
_atom_site_type_symbol
_atom_site_fract_x
_atom_site_fract_y
_atom_site_fract_z
Rb1 Rb 0.000 0.000 0.000
La1 La 0.500 0.500 0.500
I1 I 0.000 0.000 0.500
N1 N 0.000 0.500 0.000